! YCoH2 | the Alexandria database | PBE | optimized geometry; values from VASP
&SYSTEM
  ibrav = 0, nat = 8, ntyp = 3
/
ATOMIC_SPECIES
Y 88.91 Y.upf
H 1.01 H.upf
Co 58.93 Co.upf
ATOMIC_POSITIONS angstrom
Y 0.000 0.000 0.000
H 1.103 -2.527 -2.537
H 1.950 -5.317 -2.272
H 1.009 -7.028 -3.446
Co -0.416 -1.906 -2.225
Y -0.213 -5.044 -1.542
Co 2.047 -3.822 -3.011
H -0.394 -2.859 -0.853
CELL_PARAMETERS angstrom
-2.675 -3.127 -0.756
1.843 -0.684 -3.694
2.666 -5.054 -0.104
! ΔE to the lowest computed polymorph ... 0 meV per atom
! N(E_F) ... 3.2 states/eV per cell
! SG ... I-42d

=====

! Y2CoH2 | the Alexandria database | PBE | optimized geometry; values from VASP
&SYSTEM
  ibrav = 0, nat = 10, ntyp = 3
/
ATOMIC_SPECIES
H 1.01 H.upf
Co 58.93 Co.upf
Y 88.91 Y.upf
ATOMIC_POSITIONS angstrom
H -4.053 -2.796 -3.992
H -6.420 -2.897 -1.116
Co -3.962 -2.019 -1.476
Y -5.145 -4.522 -2.313
H -1.504 -1.142 -1.836
Y -1.981 -3.461 -3.012
H -3.871 -1.243 1.039
Y -4.799 -3.438 0.901
Co 0.000 0.000 0.000
Y -1.634 -2.377 0.202
CELL_PARAMETERS angstrom
-5.816 -1.505 2.796
-2.108 -2.534 -5.748
1.145 -2.861 0.841
! ΔE to the lowest computed polymorph ... 322 meV per atom
! N(E_F) ... 7.8 states/eV per cell
! SG ... P4/mbm

=====

! YZnCo2H6 | the Alexandria database | PBE | optimized geometry; values from VASP
&SYSTEM
  ibrav = 0, nat = 10, ntyp = 4
/
ATOMIC_SPECIES
Zn 65.41 Zn.upf
H 1.01 H.upf
Co 58.93 Co.upf
Y 88.91 Y.upf
ATOMIC_POSITIONS angstrom
Zn 4.276 2.469 2.515
H 4.277 1.188 4.080
H 5.386 3.110 4.080
H 3.167 1.828 0.950
H 3.167 3.109 4.080
Co 6.415 3.704 3.125
H 4.276 3.750 0.950
H 5.386 1.829 0.950
Co 2.138 1.234 1.905
Y 0.000 0.000 0.000
CELL_PARAMETERS angstrom
4.276 0.000 0.000
2.138 3.703 0.000
2.138 1.235 5.030
! Raw total energy ... -0.16163 hartree per atom
! N(E_F) ... 3.4 states/eV per cell
! SG ... R-3m

=====

! YZnCo2H8 | the Alexandria database | PBE | optimized geometry; values from VASP
&SYSTEM
  ibrav = 0, nat = 12, ntyp = 4
/
ATOMIC_SPECIES
H 1.01 H.upf
Co 58.93 Co.upf
Zn 65.41 Zn.upf
Y 88.91 Y.upf
ATOMIC_POSITIONS angstrom
H 0.000 2.645 3.576
Co 0.000 2.645 5.117
H -1.268 3.377 4.815
H 0.000 1.181 4.815
Co 2.291 1.323 0.980
Zn 0.000 0.000 0.000
H 3.558 0.591 1.282
H 1.268 3.377 4.815
H 2.291 1.323 2.521
H 2.291 2.786 1.282
Y 0.000 0.000 3.048
H 1.023 0.591 1.282
CELL_PARAMETERS angstrom
4.581 0.000 0.000
-2.291 3.968 0.000
0.000 0.000 6.097
! Raw total energy ... -0.14581 hartree per atom
! N(E_F) ... 3.2 states/eV per cell
! SG ... P-3m1

=====

! Y2ZnCoH | the Alexandria database | PBE | optimized geometry; values from VASP
&SYSTEM
  ibrav = 0, nat = 5, ntyp = 4
/
ATOMIC_SPECIES
Zn 65.41 Zn.upf
Y 88.91 Y.upf
H 1.01 H.upf
Co 58.93 Co.upf
ATOMIC_POSITIONS angstrom
Zn 2.448 2.448 1.765
Y 2.448 0.000 0.000
H 0.000 0.000 0.000
Co 0.000 0.000 1.765
Y 0.000 2.448 0.000
CELL_PARAMETERS angstrom
4.897 0.000 0.000
0.000 4.897 0.000
0.000 0.000 3.530
! Raw total energy ... -0.19319 hartree per atom
! N(E_F) ... 4.1 states/eV per cell
! SG ... P4/mmm

=====

! ZnCo2H2 | the Alexandria database | PBE | optimized geometry; values from VASP
&SYSTEM
  ibrav = 0, nat = 10, ntyp = 3
/
ATOMIC_SPECIES
H 1.01 H.upf
Co 58.93 Co.upf
Zn 65.41 Zn.upf
ATOMIC_POSITIONS angstrom
H 3.784 -1.374 0.353
H 0.991 0.108 0.546
Co 2.157 -1.095 0.884
Co 1.111 -2.995 -1.423
Zn 0.897 -0.326 3.020
Co -1.410 -1.459 2.849
Co 3.428 -1.869 -1.270
H 1.801 -1.590 -0.739
H 2.699 -1.916 2.281
Zn -0.150 -2.227 0.713
CELL_PARAMETERS angstrom
-2.045 -1.072 3.926
1.746 -3.383 -2.500
3.989 2.646 1.402
! ΔE to the lowest computed polymorph ... 3 meV per atom
! N(E_F) ... 8.8 states/eV per cell
! SG ... Fddd

=====

! ZnCo2H | the Alexandria database | PBE | optimized geometry; values from VASP
&SYSTEM
  ibrav = 0, nat = 4, ntyp = 3
/
ATOMIC_SPECIES
Co 58.93 Co.upf
H 1.01 H.upf
Zn 65.41 Zn.upf
ATOMIC_POSITIONS angstrom
Co 1.368 1.368 1.368
H 0.000 0.000 0.000
Zn 2.736 2.736 2.736
Co 4.103 4.103 4.103
CELL_PARAMETERS angstrom
0.000 2.736 2.736
2.736 0.000 2.736
2.736 2.736 0.000
! ΔE to the lowest computed polymorph ... 644 meV per atom
! N(E_F) ... 5.0 states/eV per cell
! SG ... Fm-3m

=====

! ZnCo6H3 | the Alexandria database | PBE | optimized geometry; values from VASP
&SYSTEM
  ibrav = 0, nat = 10, ntyp = 3
/
ATOMIC_SPECIES
Co 58.93 Co.upf
H 1.01 H.upf
Zn 65.41 Zn.upf
ATOMIC_POSITIONS angstrom
Co -1.399 -0.941 -0.739
Co -0.037 0.154 -3.561
H -4.646 0.909 1.493
Zn -3.969 -1.164 -0.635
Co -2.624 0.641 -1.967
Co -3.213 0.802 0.445
H -3.552 1.864 -0.992
Co -2.573 -2.074 1.336
Co -4.468 -0.811 1.907
H -1.596 0.838 -0.446
CELL_PARAMETERS angstrom
0.981 -0.704 -4.834
-2.525 -3.451 2.558
-3.393 3.498 1.371
! Raw total energy ... -0.19144 hartree per atom
! N(E_F) ... 10.1 states/eV per cell
! SG ... R3